No. 1
DFT (PBE with a Hubbard U) results for crystalline Mg2GaNiF at its relaxed geometry.

E_tot in eV per atom: -2.39
Spin magnetization in μB/f.u.: 0.00
DOS at the Fermi energy in states/eV/f.u.: 1.6

Unit cell a=4.7841 b=4.3927 c=4.7841 alpha=90.00 beta=90.00 gamma=90.00
Positions (direct):
Ni 0.0000 0.0000 0.0000
Mg 0.0000 0.0000 0.5000
Mg 0.5000 0.0000 0.0000
Ga 0.0000 0.5000 0.0000
F 0.5000 0.5000 0.5000

=====

No. 2
DFT (PBE with a Hubbard U) results for crystalline MgGaNiF6 at its relaxed geometry.

E_tot in eV per atom: -4.54
Spin magnetization in μB/f.u.: 1.43
DOS at the Fermi energy in states/eV/f.u.: 3.0

Unit cell a=5.2689 b=5.2689 c=8.9818 alpha=90.00 beta=90.00 gamma=120.00
Positions (direct):
Mg 0.3333 0.6667 0.2500
Mg 0.6667 0.3333 0.7500
Ga 0.6667 0.3333 0.2500
Ga 0.3333 0.6667 0.7500
Ni 0.0000 0.0000 0.0000
Ni 0.0000 0.0000 0.5000
F 0.6633 0.6799 0.1277
F 0.0165 0.3366 0.1277
F 0.3367 0.0165 0.6277
F 0.9835 0.6634 0.8723
F 0.3201 0.3366 0.3723
F 0.0165 0.6799 0.3723
F 0.6799 0.0165 0.8723
F 0.6633 0.9835 0.3723
F 0.9835 0.3201 0.6277
F 0.3201 0.9835 0.1277
F 0.6799 0.6634 0.6277
F 0.3367 0.3201 0.8723